An optimized crystal structure of ScNi2PbO6. Source: Alexandria, functional GGA+U.

V   11.5 A^3/atom
DFT total energy   -0.4407 Ry per atom

Cell: 5.3085 5.3094 5.6021 Å, 61.79 61.78 59.96°
Fractional positions:
Ni 0.0171 0.0171 0.9487
Ni 0.5143 0.5142 0.4573
O 0.6439 0.2267 0.2450
O 0.8846 0.6441 0.2451
O 0.1292 0.3977 0.7380
O 0.3977 0.7351 0.7376
O 0.2265 0.8846 0.2446
O 0.7355 0.1292 0.7380
Pb 0.3055 0.3057 0.0829
Sc 0.8073 0.8071 0.5782